# Ca2TlCoCl8

A relaxed Ca2TlCoCl8 crystal (GGA-PBE, Alexandria via LeMat-Bulk).

Lattice parameters (Å, degrees): 6.1363 6.1868 8.5947 89.90 89.84 88.86
Last column: nearest neighbours and their distance in Å.
Atoms (fractional coordinates):
1 Ca 0.0008 0.0004 0.2427  6 Cl 2.72-2.97
2 Ca 0.9992 0.9996 0.7573  6 Cl 2.72-2.97
3 Tl 0.5000 0.5000 0.5000  6 Cl 2.99-3.14
4 Co 0.5000 0.5000 0.0000  6 Cl 2.27-2.35
5 Cl 0.2349 0.1004 0.4998  2 Ca 2.72, 1 Tl 2.99
6 Cl 0.2736 0.1988 0.9994  1 Co 2.35
7 Cl 0.2837 0.6516 0.1867  1 Co 2.27
8 Cl 0.2856 0.6537 0.8137  1 Co 2.27
9 Cl 0.7144 0.3463 0.1863  1 Co 2.27
10 Cl 0.7163 0.3484 0.8133  1 Co 2.27
11 Cl 0.7264 0.8012 0.0006  1 Co 2.35
12 Cl 0.7651 0.8996 0.5002  2 Ca 2.72, 1 Tl 2.99

Properties
V (Å³/atom): 27.19
Formation energy (no corrections) (kcal/mol of atoms): -32.97
Space-group type: P-1
Total magnetization (μB/atom): 0.000